## CaCePr2 (GGA-PBE)

Data for CaCePr2 after structural relaxation.

Structure (CIF):
```
data_CaCePr2
_chemical_formula_sum 'Ca1 Ce1 Pr2'
_cell_length_a 5.898
_cell_length_b 5.898
_cell_length_c 5.898
_cell_angle_alpha 60.00
_cell_angle_beta 60.00
_cell_angle_gamma 60.00
_space_group_name_H-M_alt 'P 1'
_space_group_IT_number 1
_space_group_name_Hall 'P 1'
loop_
_atom_site_label
_atom_site_type_symbol
_atom_site_fract_x
_atom_site_fract_y
_atom_site_fract_z
Pr1 Pr 0.250 0.250 0.250
Pr2 Pr 0.750 0.750 0.750
Ca1 Ca 0.500 0.500 0.500
Ce1 Ce 0.000 0.000 0.000
```

Output
As for the space group: Fm-3m (225). The value obtained for the energy of formation is 0.224 eV/atom. The energy comes out at -4.15 eV per atom.

---

## CaCe4Pr (GGA-PBE)

Data for CaCe4Pr after structural relaxation.

Structure (CIF):
```
data_CaCe4Pr
_chemical_formula_sum 'Ca1 Ce4 Pr1'
_cell_length_a 6.453
_cell_length_b 6.453
_cell_length_c 6.453
_cell_angle_alpha 60.00
_cell_angle_beta 60.00
_cell_angle_gamma 60.00
_space_group_name_H-M_alt 'P 1'
_space_group_IT_number 1
_space_group_name_Hall 'P 1'
loop_
_atom_site_label
_atom_site_type_symbol
_atom_site_fract_x
_atom_site_fract_y
_atom_site_fract_z
Pr1 Pr 0.000 0.000 0.000
Ca1 Ca 0.250 0.250 0.250
Ce1 Ce 0.615 0.615 0.154
Ce2 Ce 0.615 0.154 0.615
Ce3 Ce 0.615 0.615 0.615
Ce4 Ce 0.154 0.615 0.615
```

Output
As for the space group: F-43m (216). The value obtained for the energy of formation is 0.247 eV/atom. The energy comes out at -4.84 eV per atom.

---

## CaCePr2 (GGA-PBE)

Data for CaCePr2 after structural relaxation.

Structure (CIF):
```
data_CaCePr2
_chemical_formula_sum 'Ca1 Ce1 Pr2'
_cell_length_a 5.100
_cell_length_b 5.270
_cell_length_c 5.270
_cell_angle_alpha 90.00
_cell_angle_beta 90.00
_cell_angle_gamma 90.00
_space_group_name_H-M_alt 'P 1'
_space_group_IT_number 1
_space_group_name_Hall 'P 1'
loop_
_atom_site_label
_atom_site_type_symbol
_atom_site_fract_x
_atom_site_fract_y
_atom_site_fract_z
Pr1 Pr 0.000 0.000 0.500
Pr2 Pr 0.000 0.500 0.000
Ca1 Ca 0.500 0.000 0.000
Ce1 Ce 0.500 0.500 0.500
```

Output
As for the space group: P4/mmm (123). The value obtained for the energy of formation is 0.159 eV/atom. The energy comes out at -4.21 eV per atom.

---

## CaCePr2Sb4 (GGA-PBE)

Data for CaCePr2Sb4 after structural relaxation.

Structure (CIF):
```
data_CaCePr2Sb4
_chemical_formula_sum 'Ca1 Ce1 Pr2 Sb4'
_cell_length_a 4.541
_cell_length_b 7.825
_cell_length_c 7.855
_cell_angle_alpha 109.30
_cell_angle_beta 90.00
_cell_angle_gamma 90.00
_space_group_name_H-M_alt 'P 1'
_space_group_IT_number 1
_space_group_name_Hall 'P 1'
loop_
_atom_site_label
_atom_site_type_symbol
_atom_site_fract_x
_atom_site_fract_y
_atom_site_fract_z
Ca1 Ca 0.500 0.500 0.000
Ce1 Ce 0.000 0.000 0.000
Pr1 Pr 0.500 0.000 0.500
Pr2 Pr 0.000 0.500 0.500
Sb1 Sb 0.500 0.244 0.244
Sb2 Sb 0.500 0.756 0.756
Sb3 Sb 0.000 0.246 0.755
Sb4 Sb 0.000 0.754 0.245
```

Output
As for the space group: P2/m (10). The energy comes out at -5.32 eV per atom. The value obtained for the uncorrected formation energy is -1.068 eV/atom.

---

## CaCePr2Se4 (GGA-PBE)

Data for CaCePr2Se4 after structural relaxation.

Structure (CIF):
```
data_CaCePr2Se4
_chemical_formula_sum 'Ca1 Ce1 Pr2 Se4'
_cell_length_a 4.213
_cell_length_b 7.355
_cell_length_c 7.342
_cell_angle_alpha 109.18
_cell_angle_beta 90.00
_cell_angle_gamma 90.00
_space_group_name_H-M_alt 'P 1'
_space_group_IT_number 1
_space_group_name_Hall 'P 1'
loop_
_atom_site_label
_atom_site_type_symbol
_atom_site_fract_x
_atom_site_fract_y
_atom_site_fract_z
Ca1 Ca 0.000 0.000 0.000
Ce1 Ce 0.500 0.500 0.000
Pr1 Pr 0.500 0.000 0.500
Pr2 Pr 0.000 0.500 0.500
Se1 Se 0.500 0.245 0.241
Se2 Se 0.500 0.755 0.759
Se3 Se 0.000 0.249 0.757
Se4 Se 0.000 0.751 0.243
```

Output
As for the space group: P2/m (10). The energy comes out at -5.79 eV per atom. The value obtained for the uncorrected formation energy is -1.866 eV/atom.

---

## CaCe2Pr3Se6 (GGA-PBE)

Data for CaCe2Pr3Se6 after structural relaxation.

Structure (CIF):
```
data_CaCe2Pr3Se6
_chemical_formula_sum 'Ca1 Ce2 Pr3 Se6'
_cell_length_a 7.333
_cell_length_b 7.333
_cell_length_c 7.345
_cell_angle_alpha 99.60
_cell_angle_beta 99.60
_cell_angle_gamma 120.07
_space_group_name_H-M_alt 'P 1'
_space_group_IT_number 1
_space_group_name_Hall 'P 1'
loop_
_atom_site_label
_atom_site_type_symbol
_atom_site_fract_x
_atom_site_fract_y
_atom_site_fract_z
Ca1 Ca 0.000 0.000 0.000
Ce1 Ce 0.334 0.666 0.000
Ce2 Ce 0.666 0.334 0.000
Pr1 Pr 0.166 0.834 0.500
Pr2 Pr 0.834 0.166 0.500
Pr3 Pr 0.500 0.500 0.500
Se1 Se 0.919 0.589 0.757
Se2 Se 0.751 0.751 0.242
Se3 Se 0.081 0.411 0.243
Se4 Se 0.589 0.919 0.757
Se5 Se 0.249 0.249 0.758
Se6 Se 0.411 0.081 0.243
```

Output
As for the space group: C2/m (12). The energy comes out at -5.95 eV per atom. The value obtained for the uncorrected formation energy is -1.853 eV/atom.

---

## CaCePr4Se8 (GGA-PBE)

Data for CaCePr4Se8 after structural relaxation.

Structure (CIF):
```
data_CaCePr4Se8
_chemical_formula_sum 'Ca1 Ce1 Pr4 Se8'
_cell_length_a 8.756
_cell_length_b 8.756
_cell_length_c 8.762
_cell_angle_alpha 60.02
_cell_angle_beta 60.02
_cell_angle_gamma 60.00
_space_group_name_H-M_alt 'P 1'
_space_group_IT_number 1
_space_group_name_Hall 'P 1'
loop_
_atom_site_label
_atom_site_type_symbol
_atom_site_fract_x
_atom_site_fract_y
_atom_site_fract_z
Ca1 Ca 0.375 0.375 0.874
Ce1 Ce 0.002 0.002 0.995
Pr1 Pr 0.625 0.625 0.126
Pr2 Pr 0.002 0.494 0.502
Pr3 Pr 0.494 0.002 0.502
Pr4 Pr 0.002 0.002 0.502
Se1 Se 0.242 0.773 0.743
Se2 Se 0.773 0.242 0.743
Se3 Se 0.242 0.242 0.743
Se4 Se 0.243 0.243 0.272
Se5 Se 0.759 0.225 0.257
Se6 Se 0.225 0.759 0.257
Se7 Se 0.759 0.759 0.257
Se8 Se 0.758 0.758 0.726
```

Output
As for the space group: R3m (160). The energy comes out at -5.70 eV per atom. The value obtained for the uncorrected formation energy is -1.780 eV/atom.

---

## Ca3Ce2PrTe6 (GGA-PBE)

Data for Ca3Ce2PrTe6 after structural relaxation.

Structure (CIF):
```
data_Ca3Ce2PrTe6
_chemical_formula_sum 'Ca3 Ce2 Pr1 Te6'
_cell_length_a 4.472
_cell_length_b 9.108
_cell_length_c 10.151
_cell_angle_alpha 104.40
_cell_angle_beta 102.73
_cell_angle_gamma 90.00
_space_group_name_H-M_alt 'P 1'
_space_group_IT_number 1
_space_group_name_Hall 'P 1'
loop_
_atom_site_label
_atom_site_type_symbol
_atom_site_fract_x
_atom_site_fract_y
_atom_site_fract_z
Ca1 Ca 0.500 0.500 0.000
Ca2 Ca 0.834 0.167 0.669
Ca3 Ca 0.166 0.833 0.331
Ce1 Ce 0.833 0.668 0.667
Ce2 Ce 0.167 0.332 0.333
Pr1 Pr 0.500 0.000 0.000
Te1 Te 0.331 0.920 0.663
Te2 Te 0.665 0.586 0.331
Te3 Te 0.669 0.080 0.337
Te4 Te 0.999 0.255 0.998
Te5 Te 0.001 0.745 0.002
Te6 Te 0.335 0.414 0.669
```

Output
As for the space group: C2/m (12). The energy comes out at -4.94 eV per atom. The value obtained for the uncorrected formation energy is -1.482 eV/atom.

---

Copy entry 3 word for word.
## CaCePr2 (GGA-PBE)

Data for CaCePr2 after structural relaxation.

Structure (CIF):
```
data_CaCePr2
_chemical_formula_sum 'Ca1 Ce1 Pr2'
_cell_length_a 5.100
_cell_length_b 5.270
_cell_length_c 5.270
_cell_angle_alpha 90.00
_cell_angle_beta 90.00
_cell_angle_gamma 90.00
_space_group_name_H-M_alt 'P 1'
_space_group_IT_number 1
_space_group_name_Hall 'P 1'
loop_
_atom_site_label
_atom_site_type_symbol
_atom_site_fract_x
_atom_site_fract_y
_atom_site_fract_z
Pr1 Pr 0.000 0.000 0.500
Pr2 Pr 0.000 0.500 0.000
Ca1 Ca 0.500 0.000 0.000
Ce1 Ce 0.500 0.500 0.500
```

Output
As for the space group: P4/mmm (123). The value obtained for the energy of formation is 0.159 eV/atom. The energy comes out at -4.21 eV per atom.

---

Number 7 is which compound?
CaCePr4Se8

---

Which value of energy does entry 7 give?
-5.70 eV per atom